1.
The following is a DFT calculation (GGA-PBEsol) of a relaxed structure of TiReSbP2.

a = 4.8736 Å, b = 4.8736 Å, c = 4.8711 Å
α = 90.00°, β = 90.00°, γ = 90.00°
Positions (direct):
Ti: 0.0000 0.0000 0.0000
Re: 0.5000 0.5000 0.0000
Sb: 0.5000 0.5000 0.5000
P: 0.0000 0.5000 0.5000
P: 0.5000 0.0000 0.5000

Summary:
Uncorrected formation energy: 912 kJ/mol of formula units
Space-group type: No. 123
Uncorrected energy: -28.3 eV/f.u.
Total magnetization: 0.5 Bohr magnetons per cell
Density: 6.00 g/cm³

---

2.
The following is a DFT calculation (GGA-PBEsol) of a relaxed structure of ZrReSb2P.

a = 5.3556 Å, b = 5.3556 Å, c = 4.8535 Å
α = 90.00°, β = 90.00°, γ = 90.00°
Positions (direct):
Zr: 0.0000 0.0000 0.0000
Re: 0.0000 0.0000 0.5000
Sb: 0.0000 0.5000 0.0000
Sb: 0.5000 0.0000 0.0000
P: 0.5000 0.5000 0.5000

Summary:
Uncorrected formation energy: 802 kJ/mol of formula units
Space-group type: No. 123
Uncorrected energy: -29.0 eV/f.u.
Total magnetization: 1.7 Bohr magnetons per cell
Density: 6.58 g/cm³

---

3.
The following is a DFT calculation (GGA-PBEsol) of a relaxed structure of ScReP.

a = 4.1764 Å, b = 4.1764 Å, c = 4.1764 Å
α = 60.00°, β = 60.00°, γ = 60.00°
Positions (direct):
Sc: 0.0000 0.0000 0.0000
Re: 0.2500 0.2500 0.2500
P: 0.5000 0.5000 0.5000

Summary:
Energy above the most stable polymorph in this dataset: 0.683 eV per atom
Space-group type: No. 216
Energy of formation: 9.5 kJ/mol of atoms
Uncorrected energy: -25.4 eV/f.u.
Total magnetization: 0.0 Bohr magnetons per cell
Density: 8.45 g/cm³

---

4.
The following is a DFT calculation (GGA-PBEsol) of a relaxed structure of ScReP.

a = 3.2910 Å, b = 3.2910 Å, c = 5.3206 Å
α = 90.00°, β = 90.00°, γ = 120.00°
Positions (direct):
Sc: 0.0000 0.0000 0.0000
Re: 0.3333 0.6667 0.4225
P: 0.6667 0.3333 0.6733

Summary:
Energy above the most stable polymorph in this dataset: 0.183 eV per atom
Space-group type: No. 156
Energy of formation: -38.8 kJ/mol of atoms
Uncorrected energy: -26.9 eV/f.u.
Total magnetization: 0.0 Bohr magnetons per cell
Density: 8.72 g/cm³

---

Question: What is the uncorrected energy in the first record?
Answer: -28.3 eV/f.u.

---

Question: total magnetization of number 4 (ScReP)?
Answer: 0.0 Bohr magnetons per cell

---

Question: Among the records above, which one has the lowest uncorrected energy?
Answer: ZrReSb2P

---

Question: Number 3 is which compound?
Answer: ScReP